Entry 1:
VASP calculation (meta-GGA SCAN) on a crystal of MgMn2As relaxed with PBEsol.

The space group is Imm2 (No. 44) and the conventional cell measures 3.717, 3.728 and 8.230 Å, with angles of 90.00, 90.00 and 90.00 degrees. The distinct sites, in fractional coordinates, are Mg at (0.000, 0.000, 0.000), Mn at (0.000, 0.000, 0.500), Mn at (0.000, 0.500, 0.750) and As at (0.000, 0.500, 0.250).

Its energy relative to the elements is -0.175 eV/atom.

***

Entry 2:
VASP calculation (meta-GGA SCAN) on a crystal of Cs3AuSe relaxed with PBEsol.

The space group is Pm-3m (No. 221) and the conventional cell measures 6.756, 6.756 and 6.756 Å, with angles of 90.00, 90.00 and 90.00 degrees. The distinct sites, in fractional coordinates, are Cs at (0.000, 0.000, 0.500), Au at (0.500, 0.500, 0.500) and Se at (0.000, 0.000, 0.000).

The calculation puts the uncorrected formation energy at -67.70 kJ per mole of atoms.

***

Entry 3:
VASP calculation (meta-GGA SCAN) on a crystal of KSr3 relaxed with PBEsol.

The space group is Pm-3m (No. 221) and the conventional cell measures 6.036, 6.036 and 6.036 Å, with angles of 90.00, 90.00 and 90.00 degrees. The distinct sites, in fractional coordinates, are K at (0.000, 0.000, 0.000) and Sr at (0.000, 0.500, 0.500).

For the distance to the lowest polymorph of the same formula, the calculation gives 1.303 kcal/mol of atoms. Its energy relative to the elements is 0.107 eV/atom.

***

Entry 4:
VASP calculation (meta-GGA SCAN) on a crystal of K2Nb3S6 relaxed with PBEsol.

The space group is Amm2 (No. 38) and the conventional cell measures 15.644, 10.126 and 5.846 Å, with angles of 90.00, 90.00 and 90.00 degrees. The distinct sites, in fractional coordinates, are K at (0.000, 0.167, 0.000), K at (0.500, 0.167, 0.333), Nb at (0.249, 0.000, 0.835), Nb at (0.249, 0.167, 0.333), S at (0.151, 0.000, 0.170), S at (0.151, 0.165, 0.665), S at (0.347, 0.000, 0.165) and S at (0.347, 0.165, 0.668).

The calculation puts the uncorrected formation energy at -134.63 kJ per mole of atoms.

***

Entry 5:
VASP calculation (meta-GGA SCAN) on a crystal of TaTiRu2 relaxed with PBEsol.

The space group is Fm-3m (No. 225) and the conventional cell measures 6.187, 6.187 and 6.187 Å, with angles of 90.00, 90.00 and 90.00 degrees. The distinct sites, in fractional coordinates, are Ta at (0.000, 0.000, 0.000), Ti at (0.000, 0.000, 0.500) and Ru at (0.250, 0.250, 0.250).

Its energy relative to the elements is -0.671 eV/atom.

***

Entry 6:
VASP calculation (meta-GGA SCAN) on a crystal of ZnSb2Se relaxed with PBEsol.

The space group is R3m (No. 160, hexagonal axes) and the conventional cell measures 4.0333, 4.0333 and 22.2746 Å, with angles of 90.00, 90.00 and 120.00 degrees. The distinct sites, in fractional coordinates, are Zn at (0.0000, 0.0000, 0.0000), Sb at (0.0000, 0.0000, 0.5185), Sb at (0.0000, 0.0000, 0.7769) and Se at (0.0000, 0.0000, 0.3016).

For the distance to the lowest polymorph of the same formula, the calculation gives 0.000 kcal/mol of atoms. The calculation puts the uncorrected formation energy at -16.34 kJ per mole of atoms.

***

Entry 7:
VASP calculation (meta-GGA SCAN) on a crystal of Bi2SbPb relaxed with PBEsol.

The space group is Fm-3m (No. 225) and the conventional cell measures 7.762, 7.762 and 7.762 Å, with angles of 90.00, 90.00 and 90.00 degrees. The distinct sites, in fractional coordinates, are Bi at (0.250, 0.250, 0.250), Sb at (0.000, 0.000, 0.000) and Pb at (0.000, 0.000, 0.500).

The calculation puts the uncorrected formation energy at 17.55 kJ per mole of atoms.

***

Entry 8:
VASP calculation (meta-GGA SCAN) on a crystal of CaPbWBr2 relaxed with PBEsol.

The space group is P4/mmm (No. 123) and the conventional cell measures 4.855, 4.855 and 6.193 Å, with angles of 90.00, 90.00 and 90.00 degrees. The distinct sites, in fractional coordinates, are Ca at (0.000, 0.000, 0.000), Pb at (0.500, 0.500, 0.000), W at (0.000, 0.000, 0.500) and Br at (0.000, 0.500, 0.500).

The calculation puts the uncorrected formation energy at 52.79 kJ per mole of atoms.

***

Entry 9:
VASP calculation (meta-GGA SCAN) on a crystal of TaZnCu relaxed with PBEsol.

The space group is P-6m2 (No. 187) and the conventional cell measures 4.2105, 4.2105 and 2.7560 Å, with angles of 90.00, 90.00 and 120.00 degrees. The distinct sites, in fractional coordinates, are Ta at (0.0000, 0.0000, 0.0000), Zn at (0.6667, 0.3333, 0.5000) and Cu at (0.3333, 0.6667, 0.5000).

Its energy relative to the elements is 0.047 eV/atom.

***

Entry 10:
VASP calculation (meta-GGA SCAN) on a crystal of Li2MnCoO4 relaxed with PBEsol.

The space group is I-4m2 (No. 119) and the conventional cell measures 3.969, 3.969 and 8.189 Å, with angles of 90.00, 90.00 and 90.00 degrees. The distinct sites, in fractional coordinates, are Li at (0.000, 0.000, 0.000), Li at (0.000, 0.500, 0.250), Mn at (0.000, 0.500, 0.750), Co at (0.000, 0.000, 0.500), O at (0.000, 0.000, 0.265) and O at (0.000, 0.500, 0.520).

For the distance to the lowest polymorph of the same formula, the calculation gives 0.681 kcal/mol of atoms. The calculation puts the uncorrected formation energy at -193.89 kJ per mole of atoms.

***

Entry 11:
VASP calculation (meta-GGA SCAN) on a crystal of SrCa2Al relaxed with PBEsol.

The space group is P4mm (No. 99) and the conventional cell measures 3.817, 3.817 and 9.603 Å, with angles of 90.00, 90.00 and 90.00 degrees. The distinct sites, in fractional coordinates, are Sr at (0.000, 0.000, 0.000), Ca at (0.000, 0.000, 0.388), Ca at (0.500, 0.500, 0.678) and Al at (0.500, 0.500, 0.211).

Its energy relative to the elements is -0.068 eV/atom.

***

Entry 12:
VASP calculation (meta-GGA SCAN) on a crystal of LaFeSe2 relaxed with PBEsol.

The space group is Amm2 (No. 38) and the conventional cell measures 4.361, 3.975 and 10.982 Å, with angles of 90.00, 90.00 and 90.00 degrees. The distinct sites, in fractional coordinates, are La at (0.000, 0.000, 0.000), Fe at (0.500, 0.000, 0.644), Se at (0.000, 0.000, 0.718) and Se at (0.500, 0.000, 0.428).

For the distance to the lowest polymorph of the same formula, the calculation gives 0.000 kcal/mol of atoms. The calculation puts the uncorrected formation energy at -117.95 kJ per mole of atoms.